# 1
# Cs4PaS4

Cs4PaS4 after structural relaxation (GGA-PBE, the Alexandria database).

Cell: 7.327 8.813 7.327 Å, 65.44 90.00 114.56°
Each line ends with the local moment (μB).
Positions (direct):
Pa1 0.000 0.000 0.000  0.86
Cs1 0.838 0.291 0.162  0.01
Cs2 0.547 0.709 0.838  0.01
Cs3 0.453 0.291 0.547  0.01
Cs4 0.162 0.709 0.453  0.01
S1 0.905 0.214 0.691  -0.02
S2 0.691 0.786 0.309  -0.02
S3 0.309 0.214 0.095  -0.02
S4 0.095 0.786 0.905  -0.02

Values from the calculation:
Space group: I-42m (121)
M_tot, μB/cell: 1.0
V, Å³/atom: 42.5
ΔE_f (raw), eV per atom: -1.26
Final energy, eV/atom: -4.533

# 2
# CsPaS3

CsPaS3 after structural relaxation (GGA-PBE, the Alexandria database).

Cell: 7.307 9.380 9.380 Å, 67.87 90.08 90.08°
Positions (direct):
S1 0.909 0.072 0.200
S2 0.912 0.302 0.422
S3 0.412 0.422 0.302
S4 0.301 0.058 0.434
S5 0.588 0.578 0.698
S6 0.699 0.942 0.566
S7 0.091 0.928 0.800
S8 0.409 0.200 0.072
S9 0.591 0.800 0.928
S10 0.801 0.434 0.058
S11 0.088 0.698 0.578
S12 0.199 0.566 0.942
Pa1 0.370 0.809 0.694
Pa2 0.870 0.694 0.809
Pa3 0.630 0.191 0.306
Pa4 0.130 0.306 0.191
Cs1 0.750 0.178 0.822
Cs2 0.250 0.822 0.178
Cs3 0.750 0.676 0.324
Cs4 0.250 0.324 0.676

Values from the calculation:
Space group: C2/c (15)
Distance to the lowest polymorph of the same formula, meV per atom: 75
M_tot, μB/cell: 0.0
V, Å³/atom: 29.8
ΔE_f (raw), eV per atom: -1.52
Final energy, eV/atom: -6.063

# 3
# CsPa2S5

CsPa2S5 after structural relaxation (GGA-PBE, the Alexandria database).

Cell: 4.254 8.270 8.270 Å, 49.62 75.10 75.10°
Each line ends with the local moment (μB).
Positions (direct):
S1 0.000 0.500 0.500  -0.03
S2 0.337 0.414 0.912  -0.02
S3 0.337 0.912 0.414  -0.02
S4 0.663 0.088 0.586  -0.02
S5 0.663 0.586 0.088  -0.02
Pa1 0.815 0.685 0.685  0.58
Pa2 0.185 0.315 0.315  0.58
Cs1 0.000 0.000 0.000  0.00

Values from the calculation:
Space group: Immm (71)
M_tot, μB/cell: 1.1
V, Å³/atom: 26.6
ΔE_f (raw), eV per atom: -1.60
Final energy, eV/atom: -6.661

# 4
# CsPaS3

CsPaS3 after structural relaxation (GGA-PBE, the Alexandria database).

Cell: 5.306 5.306 5.306 Å, 90.00 90.00 90.00°
Positions (direct):
S1 0.000 0.000 0.500
S2 0.000 0.500 0.000
S3 0.500 0.000 0.000
Pa1 0.000 0.000 0.000
Cs1 0.500 0.500 0.500

Values from the calculation:
Space group: Pm-3m (221)
Distance to the lowest polymorph of the same formula, meV per atom: 0
M_tot, μB/cell: 0.0
V, Å³/atom: 29.9
ΔE_f (raw), eV per atom: -1.59
Final energy, eV/atom: -6.138

# 5
# Cs2Pa3S9

Cs2Pa3S9 after structural relaxation (GGA-PBE, the Alexandria database).

Cell: 9.773 15.274 11.128 Å, 89.69 103.15 141.65°
Positions (direct):
S1 0.667 0.543 0.747
S2 0.518 0.121 0.523
S3 0.811 0.268 0.968
S4 0.847 0.064 0.021
S5 0.854 0.787 0.528
S6 0.333 0.457 0.253
S7 0.517 0.399 0.032
S8 0.146 0.213 0.472
S9 0.672 0.108 0.251
S10 0.187 0.452 0.533
S11 0.482 0.879 0.477
S12 0.328 0.892 0.749
S13 0.001 0.227 0.754
S14 0.153 0.936 0.979
S15 0.189 0.732 0.032
S16 0.999 0.773 0.246
S17 0.483 0.601 0.968
S18 0.813 0.548 0.467
Cs1 0.058 0.537 0.749
Cs2 0.263 0.139 0.754
Cs3 0.737 0.861 0.246
Cs4 0.942 0.463 0.251
Pa1 0.831 0.663 0.995
Pa2 0.169 0.337 0.005
Pa3 0.833 0.166 0.503
Pa4 0.500 0.000 0.000
Pa5 0.167 0.834 0.497
Pa6 0.500 0.500 0.500

Values from the calculation:
Space group: P-1 (2)
M_tot, μB/cell: 0.0
V, Å³/atom: 34.3
ΔE_f (raw), eV per atom: -1.44
Final energy, eV/atom: -6.254

# 6
# CsPa3S7

CsPa3S7 after structural relaxation (GGA-PBE, the Alexandria database).

Cell: 5.107 8.846 8.846 Å, 123.23 90.00 90.00°
Each line ends with the local moment (μB).
Positions (direct):
Pa1 0.000 0.734 0.266  0.71
Pa2 0.000 0.000 0.000  0.56
Pa3 0.000 0.266 0.734  0.71
S1 0.000 0.655 0.930  -0.03
S2 0.000 0.070 0.345  -0.03
S3 0.500 0.690 0.310  -0.03
S4 0.000 0.345 0.070  -0.03
S5 0.500 0.000 0.000  -0.03
S6 0.500 0.310 0.690  -0.03
S7 0.000 0.930 0.655  -0.03
Cs1 0.000 0.500 0.500  0.01

Values from the calculation:
Space group: Cmmm (65)
M_tot, μB/cell: 2.1
V, Å³/atom: 30.4
ΔE_f (raw), eV per atom: -1.39
Final energy, eV/atom: -6.682

# 7
# CsPaS

CsPaS after structural relaxation (GGA-PBE, the Alexandria database).

Cell: 5.270 5.270 9.721 Å, 74.35 74.35 90.27°
Each line ends with the local moment (μB).
Positions (direct):
Pa1 0.833 0.833 0.500  0.29
Pa2 0.167 0.167 0.500  0.29
S1 0.135 0.135 0.231  -0.01
S2 0.865 0.865 0.769  -0.01
Cs1 0.750 0.250 0.000  0.00
Cs2 0.250 0.750 0.000  0.00

Values from the calculation:
Space group: Fmmm (69)
M_tot, μB/cell: 0.6
V, Å³/atom: 41.6
ΔE_f (raw), eV per atom: -0.22
Final energy, eV/atom: -5.045

# 8
# CsPa2S6

CsPa2S6 after structural relaxation (GGA-PBE, the Alexandria database).

Cell: 5.368 7.382 9.799 Å, 74.43 74.10 68.68°
Each line ends with the local moment (μB).
Positions (direct):
Pa1 0.166 0.738 0.930  0.01
Pa2 0.834 0.262 0.070  0.01
S1 0.023 0.123 0.831  0.02
S2 0.696 0.657 0.950  0.02
S3 0.304 0.343 0.050  0.02
S4 0.684 0.309 0.322  0.07
S5 0.977 0.877 0.169  0.02
S6 0.316 0.691 0.678  0.07
Cs1 0.000 0.500 0.500  0.00

Values from the calculation:
Space group: C2/m (12)
Distance to the lowest polymorph of the same formula, meV per atom: 29
M_tot, μB/cell: 0.4
V, Å³/atom: 38.0
ΔE_f (raw), eV per atom: -1.29
Final energy, eV/atom: -6.250

What is the formula in the first record? Cs4PaS4

Please write out number 4 again, unchanged.
# CsPaS3

CsPaS3 after structural relaxation (GGA-PBE, the Alexandria database).

Cell: 5.306 5.306 5.306 Å, 90.00 90.00 90.00°
Positions (direct):
S1 0.000 0.000 0.500
S2 0.000 0.500 0.000
S3 0.500 0.000 0.000
Pa1 0.000 0.000 0.000
Cs1 0.500 0.500 0.500

Values from the calculation:
Space group: Pm-3m (221)
Distance to the lowest polymorph of the same formula, meV per atom: 0
M_tot, μB/cell: 0.0
V, Å³/atom: 29.9
ΔE_f (raw), eV per atom: -1.59
Final energy, eV/atom: -6.138

Which of these has the highest ΔE_f (raw)? CsPaS

What is the formula in the second record? CsPaS3